No. 1
## TaV12Re6 (PBE)

Data for an optimized crystal structure of TaV12Re6.

Structure (extended XYZ):
```
19
Lattice="5.497 3.174 2.854 -5.497 3.174 2.854 0.000 -6.347 2.854" Properties=species:S:1:pos:R:3 pbc="T T T"
Ta 0.000 0.000 0.000
V -2.144 -3.713 4.281
V -4.287 0.000 4.281
V -1.370 -0.791 2.433
V 1.370 -0.791 2.433
V 0.000 1.581 2.433
V 2.144 -3.713 4.281
V -2.144 3.713 4.281
V 0.000 -1.581 6.128
V -1.369 0.791 6.128
V 1.369 0.791 6.128
V 4.287 0.000 4.281
V 2.144 3.713 4.281
Re -2.221 -1.282 4.851
Re 0.000 -2.565 3.711
Re -2.221 1.282 3.711
Re 2.221 -1.282 4.851
Re 0.000 2.565 4.851
Re 2.221 1.282 3.711
```

No. 2
## Ho6MgOs (PBE)

Data for an optimized crystal structure of Ho6MgOs.

Structure (extended XYZ):
```
8
Lattice="6.872 0.000 0.000 -3.432 5.971 0.000 -3.415 -1.987 6.287" Properties=species:S:1:pos:R:3 pbc="T T T"
Ho -0.815 -0.030 1.608
Ho -1.325 3.715 1.605
Ho -2.148 1.689 4.682
Ho 2.173 2.295 1.605
Ho 1.350 0.269 4.682
Ho 0.840 4.014 4.679
Mg 3.436 0.000 0.000
Os 0.012 1.992 3.143
```

Q: Which DOS(E_F) values were calculated for the entries above? A: 20.02, 10.08, in states/eV per cell.
Q: Which formation enthalpy at 0 K values were calculated for the entries above? A: 0.4300, 0.1519, in eV per atom.